(1)
Below is a geometry-optimized HoErPb2 structure, with properties calculated at the PBE level.

Results
The space group is Pm. As for the formation energy: -1.77 eV/f.u. Its density is 10.8 g/cm³. The spin magnetization comes out at 0.00 μB per formula unit. The calculation puts the total energy at -4.582 eV/atom. The calculated volume is 28.78 Å³ per atom.

Cell lengths 4.471, 4.434, 6.222 Å; angles 90.00, 111.03, 90.00 degrees
Atoms (fractional coordinates):
Ho  0.455  0.500  0.447
Er  0.710  0.000  0.962
Pb  0.184  0.500  0.909
Pb  0.981  0.000  0.500

---

(2)
Below is a geometry-optimized Ho3ErPb4 structure, with properties calculated at the PBE level.

Results
The space group is Pmn2_1. As for the formation energy: -3.40 eV/f.u. Its density is 10.9 g/cm³. The spin magnetization comes out at 0.00 μB per formula unit. The calculation puts the total energy at -4.566 eV/atom. The calculated volume is 28.27 Å³ per atom.

Cell lengths 6.383, 6.381, 11.104 Å; angles 90.00, 90.00, 90.00 degrees
Atoms (fractional coordinates):
Ho  0.439  0.000  0.000
Ho  0.190  0.749  0.250
Ho  0.690  0.251  0.250
Ho  0.939  0.000  0.500
Ho  0.690  0.251  0.750
Ho  0.190  0.749  0.750
Er  0.939  0.500  0.000
Er  0.439  0.500  0.500
Pb  0.939  0.000  0.000
Pb  0.439  0.500  0.000
Pb  0.190  0.250  0.250
Pb  0.690  0.750  0.250
Pb  0.939  0.500  0.500
Pb  0.439  0.000  0.500
Pb  0.690  0.750  0.750
Pb  0.190  0.250  0.750

---

(3)
Below is a geometry-optimized HoErPb2 structure, with properties calculated at the PBE level.

Results
The space group is P4/mmm. As for the formation energy: -1.62 eV/f.u. Its density is 11.2 g/cm³. The spin magnetization comes out at 0.00 μB per formula unit. The calculation puts the total energy at -4.544 eV/atom. The calculated volume is 27.76 Å³ per atom.

Cell lengths 3.536, 3.536, 8.882 Å; angles 90.00, 90.00, 90.00 degrees
Atoms (fractional coordinates):
Pb  0.000  0.000  0.751
Pb  0.000  0.000  0.249
Ho  0.500  0.500  0.500
Er  0.500  0.500  0.000

---

(4)
Below is a geometry-optimized HoEr5Pb4 structure, with properties calculated at the PBE level.

Results
The space group is C2/m. As for the formation energy: -1.84 eV/f.u. Its density is 9.8 g/cm³. The spin magnetization comes out at 0.00 μB per formula unit. The calculation puts the total energy at -4.407 eV/atom. The calculated volume is 30.87 Å³ per atom.

Cell lengths 3.636, 9.706, 8.942 Å; angles 92.42, 101.73, 90.00 degrees
Atoms (fractional coordinates):
Ho  0.500  0.000  0.000
Er  0.808  0.611  0.617
Er  0.845  0.246  0.689
Er  0.155  0.754  0.311
Er  0.500  0.500  0.000
Er  0.192  0.389  0.383
Pb  0.318  0.933  0.636
Pb  0.975  0.748  0.949
Pb  0.682  0.067  0.364
Pb  0.025  0.252  0.051

---

(5)
Below is a geometry-optimized HoEr4Pb2 structure, with properties calculated at the PBE level.

Results
The space group is I4/mmm. As for the formation energy: 3.46 eV/f.u. Its density is 8.8 g/cm³. The spin magnetization comes out at 0.00 μB per formula unit. The calculation puts the total energy at -3.826 eV/atom. The calculated volume is 33.61 Å³ per atom.

Cell lengths 5.347, 5.347, 9.058 Å; angles 107.17, 107.17, 90.00 degrees
Atoms (fractional coordinates):
Ho  0.000  0.000  0.000
Er  0.817  0.817  0.634
Er  0.183  0.183  0.366
Er  0.000  0.500  0.000
Er  0.500  0.000  0.000
Pb  0.630  0.630  0.261
Pb  0.370  0.370  0.739

---

(6)
Below is a geometry-optimized HoEr3Pb12 structure, with properties calculated at the PBE level.

Results
The space group is P4/mmm. As for the formation energy: -3.98 eV/f.u. Its density is 11.3 g/cm³. The spin magnetization comes out at 0.00 μB per formula unit. The calculation puts the total energy at -4.172 eV/atom. The calculated volume is 28.86 Å³ per atom.

Cell lengths 4.905, 4.905, 19.194 Å; angles 90.00, 90.00, 90.00 degrees
Atoms (fractional coordinates):
Ho  0.000  0.000  0.000
Er  0.000  0.000  0.250
Er  0.000  0.000  0.500
Er  0.000  0.000  0.750
Pb  0.500  0.500  0.000
Pb  0.500  0.500  0.250
Pb  0.500  0.500  0.500
Pb  0.500  0.500  0.750
Pb  0.500  0.000  0.125
Pb  0.500  0.000  0.375
Pb  0.500  0.000  0.625
Pb  0.500  0.000  0.875
Pb  0.000  0.500  0.125
Pb  0.000  0.500  0.375
Pb  0.000  0.500  0.625
Pb  0.000  0.500  0.875

---

(7)
Below is a geometry-optimized Ho5ErPb5 structure, with properties calculated at the PBE level.

Results
The space group is C2/m. As for the formation energy: -2.73 eV/f.u. Its density is 9.6 g/cm³. The spin magnetization comes out at 0.01 μB per formula unit. The calculation puts the total energy at -4.429 eV/atom. The calculated volume is 31.76 Å³ per atom.

Cell lengths 6.238, 8.452, 7.324 Å; angles 102.32, 90.00, 111.66 degrees
Atoms (fractional coordinates):
Ho  0.661  0.322  0.333
Ho  0.664  0.327  0.831
Ho  0.000  0.000  0.500
Ho  0.336  0.673  0.169
Ho  0.339  0.678  0.667
Er  0.000  0.000  0.000
Pb  0.832  0.664  0.170
Pb  0.833  0.666  0.661
Pb  0.500  0.000  0.000
Pb  0.167  0.334  0.339
Pb  0.168  0.336  0.830

---

(8)
Below is a geometry-optimized Ho3ErPb2 structure, with properties calculated at the PBE level.

Results
The space group is Cmmm. The calculation puts the energy above the most stable polymorph in this dataset at 56 meV per atom. As for the formation energy: -2.10 eV/f.u. Its density is 10.5 g/cm³. The spin magnetization comes out at 0.04 μB per formula unit. The calculation puts the total energy at -4.635 eV/atom. The calculated volume is 28.43 Å³ per atom.

Cell lengths 4.896, 8.789, 9.388 Å; angles 117.91, 105.12, 90.00 degrees
Atoms (fractional coordinates):
Ho  0.500  0.250  0.000
Ho  0.500  0.750  0.000
Ho  0.826  0.076  0.651
Ho  0.174  0.424  0.349
Ho  0.174  0.924  0.349
Ho  0.826  0.576  0.651
Er  0.000  0.500  0.000
Er  0.000  0.000  0.000
Pb  0.349  0.349  0.698
Pb  0.651  0.151  0.302
Pb  0.349  0.849  0.698
Pb  0.651  0.651  0.302

---

(9)
Below is a geometry-optimized HoEr2Pb2 structure, with properties calculated at the PBE level.

Results
The space group is Cmc2_1. As for the formation energy: -2.08 eV/f.u. Its density is 10.3 g/cm³. The spin magnetization comes out at 0.00 μB per formula unit. The calculation puts the total energy at -4.640 eV/atom. The calculated volume is 29.45 Å³ per atom.

Cell lengths 4.954, 6.506, 9.467 Å; angles 90.00, 105.17, 90.00 degrees
Atoms (fractional coordinates):
Ho  0.607  0.021  0.214
Ho  0.393  0.521  0.786
Er  0.001  0.272  0.001
Er  0.188  0.525  0.375
Er  0.812  0.025  0.625
Er  0.999  0.772  0.999
Pb  0.575  0.522  0.150
Pb  0.200  0.025  0.400
Pb  0.800  0.525  0.600
Pb  0.425  0.022  0.850

---

(10)
Below is a geometry-optimized Ho3Er2Pb4 structure, with properties calculated at the PBE level.

Results
The space group is C2/m. As for the formation energy: -3.65 eV/f.u. Its density is 10.5 g/cm³. The spin magnetization comes out at 0.00 μB per formula unit. The calculation puts the total energy at -4.594 eV/atom. The calculated volume is 29.16 Å³ per atom.

Cell lengths 4.933, 6.796, 8.486 Å; angles 104.76, 106.90, 90.00 degrees
Atoms (fractional coordinates):
Ho  0.114  0.589  0.228
Ho  0.886  0.411  0.772
Ho  0.000  0.000  0.000
Er  0.670  0.065  0.340
Er  0.330  0.935  0.660
Pb  0.490  0.717  0.979
Pb  0.246  0.309  0.492
Pb  0.510  0.283  0.021
Pb  0.754  0.691  0.508